No. 1
A plane-wave DFT calculation with PBE-GGA was carried out for an optimized crystal structure of BaLiHO2.

Structure (POSCAR):
```
BaLiHO2
1.0
4.093 0.000 0.000
0.000 4.093 0.000
0.000 0.000 3.953
Ba Li H O
1 1 1 2
Direct
0.000 0.000 0.000
0.500 0.500 0.500
0.500 0.500 0.000
0.000 0.500 0.500
0.500 0.000 0.500
```

Results
Calculated total energy, Ry per atom: -0.33019
Space group: P4/mmm (123)

***

No. 2
A plane-wave DFT calculation with PBE-GGA was carried out for an optimized crystal structure of Ho2In3.

Structure (POSCAR):
```
Ho2In3
1.0
2.529 1.460 5.985
-2.529 1.460 5.985
0.000 -2.920 5.985
Ho In
2 3
Direct
0.103 0.103 0.103
0.897 0.897 0.897
0.308 0.308 0.308
0.500 0.500 0.500
0.692 0.692 0.692
```

Results
Offset from the most stable computed form, eV/f.u.: 0.449
Space group: R-3m (166)
Energy of formation, eV per formula unit: -1.67

***

No. 3
A plane-wave DFT calculation with PBE-GGA was carried out for an optimized crystal structure of Ho3Se4.

Structure (POSCAR):
```
Ho3Se4
1.0
-2.860 2.860 5.663
2.860 -2.860 5.663
2.860 2.860 -5.663
Ho Se
3 4
Direct
0.000 0.000 0.000
0.250 0.750 0.500
0.750 0.250 0.500
0.000 0.500 0.500
0.253 0.253 0.000
0.500 0.000 0.500
0.747 0.747 0.000
```

Results
Formation energy from raw total energies, eV/atom: -1.83
Offset from the most stable computed form, eV/f.u.: 0.000
Space group: I4/mmm (139)

***

No. 4
A plane-wave DFT calculation with PBE-GGA was carried out for an optimized crystal structure of Nd3PdAu4.

Structure (POSCAR):
```
Nd3PdAu4
1.0
-2.099 3.715 6.541
2.099 -3.715 6.541
2.099 3.715 -6.541
Nd Pd Au
3 1 4
Direct
0.000 0.000 0.000
0.338 0.838 0.500
0.662 0.162 0.500
0.500 0.500 0.000
0.061 0.366 0.695
0.329 0.634 0.695
0.671 0.366 0.305
0.939 0.634 0.305
```

Results
Space group: Immm (71)
Energy of formation, eV per formula unit: -5.62

***

no.,V (Å³/atom)
1,13.2
2,26.5
3,26.5
4,25.5